(1)
# Ca2Ac3Pt3 PBE-GGA optimized geometry
data_Ca2Ac3Pt3
_chemical_formula_sum 'Ca8 Ac12 Pt12'
_cell_length_a 13.308
_cell_length_b 5.950
_cell_length_c 14.696
_cell_angle_alpha 90.00
_cell_angle_beta 91.63
_cell_angle_gamma 90.00
_space_group_name_H-M_alt 'C 1 m 1'
_space_group_IT_number 8
loop_
_space_group_symop_operation_xyz
'x,y,z'
'x,-y,z'
'x+1/2,y+1/2,z'
'x+1/2,-y+1/2,z'
loop_
_atom_site_label
_atom_site_type_symbol
_atom_site_fract_x
_atom_site_fract_y
_atom_site_fract_z
_atom_site_occupancy
Ca1 Ca 0.000 0.000 0.000 1
Ca2 Ca 0.010 0.000 0.375 1
Ca3 Ca 0.103 0.500 0.823 1
Ca4 Ca 0.335 0.000 0.500 1
Ac1 Ac 0.118 0.500 0.561 1
Ac2 Ac 0.220 0.500 0.052 1
Ac3 Ac 0.227 0.500 0.321 1
Ac4 Ac 0.322 0.000 0.864 1
Ac5 Ac 0.421 0.000 0.187 1
Ac6 Ac 0.424 0.500 0.688 1
Pt1 Pt 0.005 0.500 0.996 1
Pt2 Pt 0.017 0.500 0.380 1
Pt3 Pt 0.315 0.500 0.871 1
Pt4 Pt 0.329 0.500 0.499 1
Pt5 Pt 0.393 0.500 0.187 1
Pt6 Pt 0.444 0.000 0.686 1
# VASP energy: -5.096 eV/atom
# E_form: -0.7892 eV per atom

***

(2)
# CaSm3Dy2Te6 PBE-GGA optimized geometry
data_CaSm3Dy2Te6
_chemical_formula_sum 'Ca2 Sm6 Dy4 Te12'
_cell_length_a 19.304
_cell_length_b 4.402
_cell_length_c 8.887
_cell_angle_alpha 90.00
_cell_angle_beta 103.87
_cell_angle_gamma 90.00
_space_group_name_H-M_alt 'C 1 2/m 1'
_space_group_IT_number 12
loop_
_space_group_symop_operation_xyz
'x,y,z'
'-x,-y,-z'
'-x,y,-z'
'x,-y,z'
'x+1/2,y+1/2,z'
'-x+1/2,-y+1/2,-z'
'-x+1/2,y+1/2,-z'
'x+1/2,-y+1/2,z'
loop_
_atom_site_label
_atom_site_type_symbol
_atom_site_fract_x
_atom_site_fract_y
_atom_site_fract_z
_atom_site_occupancy
Ca1 Ca 0.000 0.000 0.000 1
Sm1 Sm 0.000 0.000 0.500 1
Sm2 Sm 0.165 0.500 0.825 1
Dy1 Dy 0.170 0.500 0.339 1
Te1 Te 0.004 0.500 0.248 1
Te2 Te 0.166 0.000 0.086 1
Te3 Te 0.167 0.000 0.577 1
# VASP energy: -5.072 eV/atom
# formation energy (no corrections): -1.39 eV/atom

***

(3)
# KY2Au2 PBE-GGA optimized geometry
data_KY2Au2
_chemical_formula_sum 'K2 Y4 Au4'
_cell_length_a 5.070
_cell_length_b 5.070
_cell_length_c 11.667
_cell_angle_alpha 90.00
_cell_angle_beta 90.00
_cell_angle_gamma 90.00
_space_group_name_H-M_alt 'I 4/m m m'
_space_group_IT_number 139
_space_group_name_Hall '-I 4 2'
loop_
_atom_site_label
_atom_site_type_symbol
_atom_site_fract_x
_atom_site_fract_y
_atom_site_fract_z
_atom_site_occupancy
K1 K 0.000 0.000 0.000 1
Y1 Y 0.000 0.500 0.250 1
Au1 Au 0.000 0.000 0.380 1
# VASP energy: -4.519 eV/atom
# E_form: -0.4025 eV per atom

***

(4)
# CaMnCo2 PBE-GGA optimized geometry
data_CaMnCo2
_chemical_formula_sum 'Ca1 Mn1 Co2'
_cell_length_a 3.051
_cell_length_b 3.989
_cell_length_c 5.775
_cell_angle_alpha 90.00
_cell_angle_beta 105.16
_cell_angle_gamma 90.00
_space_group_name_H-M_alt 'P 1 m 1'
_space_group_IT_number 6
loop_
_space_group_symop_operation_xyz
'x,y,z'
'x,-y,z'
loop_
_atom_site_label
_atom_site_type_symbol
_atom_site_fract_x
_atom_site_fract_y
_atom_site_fract_z
_atom_site_occupancy
Ca1 Ca 0.000 0.000 0.000 1
Mn1 Mn 0.308 0.500 0.622 1
Co1 Co 0.640 0.500 0.281 1
Co2 Co 0.736 0.000 0.478 1
# VASP energy: -5.973 eV/atom
# distance to the lowest polymorph of the same formula: 177 meV/atom
# E_form: 0.3724 eV per atom

***

(5)
# RbDyIn2 PBE-GGA optimized geometry
data_RbDyIn2
_chemical_formula_sum 'Rb1 Dy1 In2'
_cell_length_a 3.881
_cell_length_b 3.881
_cell_length_c 8.885
_cell_angle_alpha 90.00
_cell_angle_beta 90.00
_cell_angle_gamma 90.00
_space_group_name_H-M_alt 'P 4/m m m'
_space_group_IT_number 123
_space_group_name_Hall '-P 4 2'
loop_
_atom_site_label
_atom_site_type_symbol
_atom_site_fract_x
_atom_site_fract_y
_atom_site_fract_z
_atom_site_occupancy
Rb1 Rb 0.000 0.000 0.000 1
Dy1 Dy 0.000 0.000 0.500 1
In1 In 0.500 0.500 0.308 1
# VASP energy: -2.964 eV/atom
# E_form: -0.2028 eV per atom

***

(6)
# GdDyCoAg PBE-GGA optimized geometry
data_GdDyCoAg
_chemical_formula_sum 'Gd4 Dy4 Co4 Ag4'
_cell_length_a 7.029
_cell_length_b 7.029
_cell_length_c 7.029
_cell_angle_alpha 90.00
_cell_angle_beta 90.00
_cell_angle_gamma 90.00
_space_group_name_H-M_alt 'F -4 3 m'
_space_group_IT_number 216
_space_group_name_Hall 'F -4 2 3'
loop_
_atom_site_label
_atom_site_type_symbol
_atom_site_fract_x
_atom_site_fract_y
_atom_site_fract_z
_atom_site_occupancy
Gd1 Gd 0.000 0.000 0.000 1
Dy1 Dy 0.000 0.000 0.500 1
Co1 Co 0.250 0.250 0.750 1
Ag1 Ag 0.250 0.250 0.250 1
# VASP energy: -7.322 eV/atom
# E_form: -0.1617 eV per atom

***

(7)
# LiCaTbPd PBE-GGA optimized geometry
data_LiCaTbPd
_chemical_formula_sum 'Li4 Ca4 Tb4 Pd4'
_cell_length_a 7.177
_cell_length_b 7.177
_cell_length_c 7.177
_cell_angle_alpha 90.00
_cell_angle_beta 90.00
_cell_angle_gamma 90.00
_space_group_name_H-M_alt 'F -4 3 m'
_space_group_IT_number 216
_space_group_name_Hall 'F -4 2 3'
loop_
_atom_site_label
_atom_site_type_symbol
_atom_site_fract_x
_atom_site_fract_y
_atom_site_fract_z
_atom_site_occupancy
Li1 Li 0.000 0.000 0.000 1
Ca1 Ca 0.250 0.250 0.750 1
Tb1 Tb 0.250 0.250 0.250 1
Pd1 Pd 0.000 0.000 0.500 1
# VASP energy: -3.785 eV/atom
# E_form: -0.3508 eV per atom